# 1
{
  "formula": "FeSb2Au",
  "functional": "GGA-PBEsol",
  "state": "optimized geometry",
  "lattice": [[-0.576, 4.457, 0.083], [-3.586, -0.414, -2.645], [-0.168, -2.370, 4.385]],
  "species": ["Sb", "Fe", "Sb", "Au"],
  "fractional_positions": [[0.251, 0.251, 0.502], [0.500, 0.000, 0.000], [0.749, 0.749, 0.498], [0.000, 0.500, 0.000]],
  "m_tot_mub_per_cell": 2.3,
  "density_g_cm3": 10.6,
  "e_form_raw_mev_per_atom": 359,
  "crystal_system": "orthorhombic"
}


# 2
{
  "formula": "FeSbAu2",
  "functional": "GGA-PBEsol",
  "state": "optimized geometry",
  "lattice": [[4.004, 0.000, 0.000], [0.000, 4.004, 0.000], [0.000, 0.000, 4.301]],
  "species": ["Sb", "Au", "Fe", "Au"],
  "fractional_positions": [[0.000, 0.000, 0.500], [0.500, 0.000, 0.000], [0.500, 0.500, 0.500], [0.000, 0.500, 0.000]],
  "m_tot_mub_per_cell": 2.8,
  "density_g_cm3": 13.8,
  "e_form_raw_mev_per_atom": 224,
  "crystal_system": "tetragonal"
}


# 3
{
  "formula": "FeSbAu2",
  "functional": "GGA-PBEsol",
  "state": "optimized geometry",
  "lattice": [[3.977, 0.000, 0.000], [0.000, 3.977, 0.000], [-1.988, -1.988, 4.367]],
  "species": ["Fe", "Au", "Sb", "Au"],
  "fractional_positions": [[0.500, 0.500, 0.000], [0.250, 0.750, 0.500], [0.000, 0.000, 0.000], [0.750, 0.250, 0.500]],
  "m_tot_mub_per_cell": 2.8,
  "density_g_cm3": 13.7,
  "e_form_raw_mev_per_atom": 247,
  "crystal_system": "tetragonal"
}


# 4
{
  "formula": "FeSb2Au",
  "functional": "GGA-PBEsol",
  "state": "optimized geometry",
  "lattice": [[-2.004, 0.421, 2.470], [-1.844, -2.390, -1.088], [3.866, -4.783, 3.951]],
  "species": ["Sb", "Fe", "Sb", "Au"],
  "fractional_positions": [[0.000, 0.000, 0.715], [0.500, 0.500, 0.500], [0.000, 0.000, 0.285], [0.500, 0.500, 0.000]],
  "m_tot_mub_per_cell": 1.4,
  "density_g_cm3": 11.0,
  "e_form_raw_mev_per_atom": 248,
  "crystal_system": "tetragonal"
}


# 5
{
  "formula": "FeSbTe2Au",
  "functional": "GGA-PBEsol",
  "state": "optimized geometry",
  "lattice": [[-3.529, 2.113, -3.169], [-3.671, -3.516, 1.743], [-1.436, 3.425, 3.883]],
  "species": ["Au", "Fe", "Sb", "Te", "Te"],
  "fractional_positions": [[0.000, 0.000, 0.000], [0.500, 0.500, 0.500], [0.500, 0.000, 0.000], [0.000, 0.000, 0.500], [0.000, 0.500, 0.000]],
  "m_tot_mub_per_cell": 3.5,
  "density_g_cm3": 7.0,
  "e_form_raw_mev_per_atom": 1118,
  "crystal_system": "tetragonal"
}


# 6
{
  "formula": "ScFe2Au",
  "functional": "GGA-PBEsol",
  "state": "optimized geometry",
  "lattice": [[-0.161, 0.085, -3.115], [-3.024, -0.754, 0.135], [-1.465, 5.917, 0.236]],
  "species": ["Au", "Sc", "Fe", "Fe"],
  "fractional_positions": [[0.500, 0.500, 0.770], [0.000, 0.000, 0.482], [0.000, 0.000, 0.033], [0.500, 0.500, 0.215]],
  "m_tot_mub_per_cell": 4.7,
  "formation_energy_ev_per_fu": -0.5,
  "density_g_cm3": 9.9,
  "crystal_system": "tetragonal"
}


What did we get for raw total energy? Answer: -5.1418, -5.1185, -5.0951, -5.2521, -3.7813, -7.2470 eV per atom, in the order shown.
What did we get for DOS at the Fermi energy? Answer: 0.79, 1.07, 1.18, 0.87, 1.33, 0.88 states/eV/atom, in the order shown.